(1)
{"formula": "NdDyYIn", "functional": "PBE", "state": "optimized geometry", "dos_ef_per_ev_fu": 5.52, "e_above_lowest_polymorph_mev_per_atom": 121.9, "ef_kj_per_mol_atoms": -14.2, "total_magnetization_mub_per_cell": 1.176, "cell": [[0.000, 3.899, 3.899], [3.899, 0.000, 3.899], [3.899, 3.899, 0.000]], "species": ["Nd", "Dy", "Y", "In"], "fractional_positions": [[0.000, 0.000, 0.000], [0.750, 0.750, 0.750], [0.500, 0.500, 0.500], [0.250, 0.250, 0.250]]}

***

(2)
{"formula": "La2ZrZn", "functional": "PBE", "state": "optimized geometry", "dos_ef_per_ev_fu": 3.56, "ef_kj_per_mol_atoms": 5.4, "total_magnetization_mub_per_cell": 0.000, "cell": [[1.768, 1.021, 10.362], [-1.768, 1.021, 10.362], [0.000, -2.042, 10.362]], "species": ["La", "La", "Zr", "Zn"], "fractional_positions": [[0.000, 0.000, 0.000], [0.229, 0.229, 0.229], [0.752, 0.752, 0.752], [0.484, 0.484, 0.484]]}